Run 1
Below is an optimized crystal structure of TaOs3Ru, with properties calculated at the PBE level.

a = 4.5964 Å, b = 4.5964 Å, c = 4.5964 Å
α = 90.00°, β = 90.00°, γ = 90.00°
With the nearest neighbours (Å) after each atom.
Atoms (fractional coordinates):
Ta: 0.0000 0.0000 0.0000  12 Os 3.25
Os: 0.0000 0.5000 0.5000  2 Ru 2.30
Os: 0.5000 0.0000 0.5000  2 Ru 2.30
Os: 0.5000 0.5000 0.0000  2 Ru 2.30
Ru: 0.5000 0.5000 0.5000  6 Os 2.30

Summary:
Its space group is Pm-3m. For the volume, the calculation gives 97.1 Å³ per cell.


Run 2
Below is an optimized crystal structure of TaOs3Ru, with properties calculated at the PBE level.

a = 5.3254 Å, b = 5.3254 Å, c = 12.2436 Å
α = 90.00°, β = 90.00°, γ = 120.00°
With the nearest neighbours (Å) after each atom.
Atoms (fractional coordinates):
Ta: 0.0000 0.0000 0.0000  6 Os 2.66
Ta: 0.3333 0.6667 0.6667  6 Os 2.66
Ta: 0.6667 0.3333 0.3333  6 Os 2.66
Os: 0.0000 0.5000 0.0000  2 Ru 2.55, 2 Ta 2.66, 4 Os 2.66
Os: 0.1667 0.3333 0.3333  2 Ru 2.55, 2 Ta 2.66, 4 Os 2.66
Os: 0.1667 0.8333 0.3333  2 Ru 2.55, 4 Os 2.66, 2 Ta 2.66
Os: 0.3333 0.1667 0.6667  2 Ru 2.55, 2 Ta 2.66, 4 Os 2.66
Os: 0.5000 0.0000 0.0000  2 Ru 2.55, 2 Ta 2.66, 4 Os 2.66
Os: 0.5000 0.5000 0.0000  2 Ru 2.55, 2 Ta 2.66, 4 Os 2.66
Os: 0.6667 0.8333 0.3333  2 Ru 2.55, 2 Ta 2.66, 4 Os 2.66
Os: 0.8333 0.1667 0.6667  2 Ru 2.55, 4 Os 2.66, 2 Ta 2.66
Os: 0.8333 0.6667 0.6667  2 Ru 2.55, 2 Ta 2.66, 4 Os 2.66
Ru: 0.0000 0.0000 0.5000  6 Os 2.55
Ru: 0.3333 0.6667 0.1667  6 Os 2.55
Ru: 0.6667 0.3333 0.8333  6 Os 2.55

Summary:
Its space group is R-3m. For the volume, the calculation gives 300.7 Å³ per cell.


Order from most stable to least stable according to the calculation: run 2, run 1


Run 1
Below is an optimized crystal structure of TaOsRu2, with properties calculated at the PBE level.

a = 3.8974 Å, b = 3.8974 Å, c = 7.9064 Å
α = 90.00°, β = 90.00°, γ = 90.00°
With the nearest neighbours (Å) after each atom.
Atoms (fractional coordinates):
Ta: 0.0000 0.0000 0.0000  8 Ru 2.76-2.78, 4 Os 2.78
Ta: 0.5000 0.5000 0.5000  8 Ru 2.76-2.78, 4 Os 2.78
Os: 0.0000 0.5000 0.7500  8 Ru 2.76-2.78, 4 Ta 2.78
Os: 0.5000 0.0000 0.2500  8 Ru 2.76-2.78, 4 Ta 2.78
Ru: 0.0000 0.0000 0.5000  4 Ta 2.76, 4 Ru 2.78, 4 Os 2.78
Ru: 0.0000 0.5000 0.2500  4 Os 2.76, 4 Ta 2.78, 4 Ru 2.78
Ru: 0.5000 0.0000 0.7500  4 Os 2.76, 4 Ta 2.78, 4 Ru 2.78
Ru: 0.5000 0.5000 0.0000  4 Ta 2.76, 4 Os 2.78, 4 Ru 2.78

Summary:
Its space group is I-4m2. For the volume, the calculation gives 120.1 Å³ per cell.


Run 2
Below is an optimized crystal structure of TaOsRu2, with properties calculated at the PBE level.

a = 2.7975 Å, b = 3.8448 Å, c = 5.6125 Å
α = 90.00°, β = 90.00°, γ = 90.00°
With the nearest neighbours (Å) after each atom.
Atoms (fractional coordinates):
Ta: 0.0000 0.0000 0.0000  6 Ru 2.78-2.83, 2 Ta 2.80, 4 Os 2.82
Os: 0.5000 0.5000 0.7285  6 Ru 2.65-2.96, 2 Os 2.80, 4 Ta 2.82
Ru: 0.0000 0.0000 0.5047  4 Os 2.69, 6 Ru 2.76-2.80, 2 Ta 2.78-2.83
Ru: 0.5000 0.5000 0.2565  2 Os 2.65-2.96, 6 Ru 2.76-2.80, 4 Ta 2.78

Summary:
Its space group is Pmm2. For the volume, the calculation gives 60.4 Å³ per cell.


Order from most stable to least stable according to the calculation: run 1, run 2


Run 1
Below is an optimized crystal structure of TaOsRu2, with properties calculated at the PBE level.

a = 6.2656 Å, b = 6.2656 Å, c = 6.2656 Å
α = 90.00°, β = 90.00°, γ = 90.00°
With the nearest neighbours (Å) after each atom.
Atoms (fractional coordinates):
Ta: 0.0000 0.0000 0.0000  4 Ru 2.71, 4 Os 2.71
Ta: 0.0000 0.5000 0.5000  4 Ru 2.71, 4 Os 2.71
Ta: 0.5000 0.0000 0.5000  4 Ru 2.71, 4 Os 2.71
Ta: 0.5000 0.5000 0.0000  4 Ru 2.71, 4 Os 2.71
Os: 0.2500 0.2500 0.7500  4 Ta 2.71, 4 Ru 2.71
Os: 0.2500 0.7500 0.2500  4 Ta 2.71, 4 Ru 2.71
Os: 0.7500 0.2500 0.2500  4 Ta 2.71, 4 Ru 2.71
Os: 0.7500 0.7500 0.7500  4 Ta 2.71, 4 Ru 2.71
Ru: 0.0000 0.0000 0.5000  4 Os 2.71, 4 Ru 2.71
Ru: 0.0000 0.5000 0.0000  4 Os 2.71, 4 Ru 2.71
Ru: 0.2500 0.2500 0.2500  4 Ta 2.71, 4 Ru 2.71
Ru: 0.2500 0.7500 0.7500  4 Ta 2.71, 4 Ru 2.71
Ru: 0.5000 0.0000 0.0000  4 Os 2.71, 4 Ru 2.71
Ru: 0.5000 0.5000 0.5000  4 Os 2.71, 4 Ru 2.71
Ru: 0.7500 0.2500 0.7500  4 Ta 2.71, 4 Ru 2.71
Ru: 0.7500 0.7500 0.2500  4 Ta 2.71, 4 Ru 2.71

Summary:
Its space group is F-43m. For the volume, the calculation gives 246.0 Å³ per cell.


Run 2
Below is an optimized crystal structure of TaOsRu2, with properties calculated at the PBE level.

a = 3.0397 Å, b = 4.4557 Å, c = 4.4904 Å
α = 90.00°, β = 90.00°, γ = 90.00°
With the nearest neighbours (Å) after each atom.
Atoms (fractional coordinates):
Ta: 0.0000 0.0000 0.0000  4 Ru 2.70, 4 Os 2.71
Os: 0.5000 0.0000 0.5000  4 Ru 2.70, 4 Ta 2.71
Ru: 0.0000 0.5000 0.5000  4 Os 2.70, 4 Ru 2.71
Ru: 0.5000 0.5000 0.0000  4 Ta 2.70, 4 Ru 2.71

Summary:
Its space group is Pmmm. For the volume, the calculation gives 60.8 Å³ per cell.


Order from most stable to least stable according to the calculation: run 2, run 1


Run 1
Below is an optimized crystal structure of TaOsRu2, with properties calculated at the PBE level.

a = 6.2711 Å, b = 6.2711 Å, c = 6.2711 Å
α = 90.00°, β = 90.00°, γ = 90.00°
With the nearest neighbours (Å) after each atom.
Atoms (fractional coordinates):
Ta: 0.0000 0.0000 0.0000  8 Ru 2.72
Ta: 0.0000 0.5000 0.5000  8 Ru 2.72
Ta: 0.5000 0.0000 0.5000  8 Ru 2.72
Ta: 0.5000 0.5000 0.0000  8 Ru 2.72
Os: 0.0000 0.0000 0.5000  8 Ru 2.72
Os: 0.0000 0.5000 0.0000  8 Ru 2.72
Os: 0.5000 0.0000 0.0000  8 Ru 2.72
Os: 0.5000 0.5000 0.5000  8 Ru 2.72
Ru: 0.2500 0.2500 0.2500  4 Ta 2.72, 4 Os 2.72
Ru: 0.2500 0.2500 0.7500  4 Ta 2.72, 4 Os 2.72
Ru: 0.2500 0.7500 0.2500  4 Ta 2.72, 4 Os 2.72
Ru: 0.2500 0.7500 0.7500  4 Ta 2.72, 4 Os 2.72
Ru: 0.7500 0.2500 0.2500  4 Ta 2.72, 4 Os 2.72
Ru: 0.7500 0.2500 0.7500  4 Ta 2.72, 4 Os 2.72
Ru: 0.7500 0.7500 0.2500  4 Ta 2.72, 4 Os 2.72
Ru: 0.7500 0.7500 0.7500  4 Ta 2.72, 4 Os 2.72

Summary:
Its space group is Fm-3m. For the volume, the calculation gives 246.6 Å³ per cell.


Run 2
Below is an optimized crystal structure of TaOsRu2, with properties calculated at the PBE level.

a = 3.8503 Å, b = 3.8503 Å, c = 17.8055 Å
α = 90.00°, β = 90.00°, γ = 90.00°
With the nearest neighbours (Å) after each atom.
Atoms (fractional coordinates):
Ta: 0.0000 0.0000 0.0000  4 Ru 2.63, 4 Os 2.72
Ta: 0.0000 0.5000 0.2500  4 Ru 2.63, 4 Os 2.72
Ta: 0.5000 0.0000 0.7500  4 Ru 2.63, 4 Os 2.72
Ta: 0.5000 0.5000 0.5000  4 Ru 2.63, 4 Os 2.72
Os: 0.0000 0.0000 0.5000  4 Ru 2.59, 4 Ta 2.72
Os: 0.0000 0.5000 0.7500  4 Ru 2.59, 4 Ta 2.72
Os: 0.5000 0.0000 0.2500  4 Ru 2.59, 4 Ta 2.72
Os: 0.5000 0.5000 0.0000  4 Ru 2.59, 4 Ta 2.72
Ru: 0.2349 0.2500 0.6250  2 Os 2.59, 2 Ta 2.63, 4 Ru 2.64-2.81
Ru: 0.2500 0.7349 0.8750  2 Os 2.59, 2 Ta 2.63, 4 Ru 2.64-2.81
Ru: 0.2500 0.7651 0.3750  2 Os 2.59, 2 Ta 2.63, 4 Ru 2.64-2.81
Ru: 0.2651 0.2500 0.1250  2 Os 2.59, 2 Ta 2.63, 4 Ru 2.64-2.81
Ru: 0.7349 0.7500 0.1250  2 Os 2.59, 2 Ta 2.63, 4 Ru 2.64-2.81
Ru: 0.7500 0.2349 0.3750  2 Os 2.59, 2 Ta 2.63, 4 Ru 2.64-2.81
Ru: 0.7500 0.2651 0.8750  2 Os 2.59, 2 Ta 2.63, 4 Ru 2.64-2.81
Ru: 0.7651 0.7500 0.6250  2 Os 2.59, 2 Ta 2.63, 4 Ru 2.64-2.81

Summary:
Its space group is I-42d. For the volume, the calculation gives 264.0 Å³ per cell.


Order from most stable to least stable according to the calculation: run 1, run 2


Run 1
Below is an optimized crystal structure of TaOsRu2, with properties calculated at the PBE level.

a = 5.5519 Å, b = 7.7219 Å, c = 2.7936 Å
α = 90.00°, β = 90.00°, γ = 90.00°
With the nearest neighbours (Å) after each atom.
Atoms (fractional coordinates):
Ta: 0.0000 0.0000 0.0000  8 Ru 2.76, 2 Os 2.78, 2 Ta 2.79
Ta: 0.5000 0.5000 0.0000  8 Ru 2.76, 2 Os 2.78, 2 Ta 2.79
Os: 0.0000 0.5000 0.0000  8 Ru 2.76, 2 Ta 2.78, 2 Os 2.79
Os: 0.5000 0.0000 0.0000  8 Ru 2.76, 2 Ta 2.78, 2 Os 2.79
Ru: 0.2500 0.2500 0.5000  4 Ta 2.76, 4 Os 2.76, 4 Ru 2.78-2.79
Ru: 0.2500 0.7500 0.5000  4 Ta 2.76, 4 Os 2.76, 4 Ru 2.78-2.79
Ru: 0.7500 0.2500 0.5000  4 Ta 2.76, 4 Os 2.76, 4 Ru 2.78-2.79
Ru: 0.7500 0.7500 0.5000  4 Ta 2.76, 4 Os 2.76, 4 Ru 2.78-2.79

Summary:
Its space group is Cmmm. For the volume, the calculation gives 119.8 Å³ per cell.


Run 2
Below is an optimized crystal structure of TaOsRu2, with properties calculated at the PBE level.

a = 2.7977 Å, b = 3.8395 Å, c = 5.6026 Å
α = 90.00°, β = 90.00°, γ = 90.00°
With the nearest neighbours (Å) after each atom.
Atoms (fractional coordinates):
Ta: 0.0000 0.0000 0.0000  8 Ru 2.80, 2 Ta 2.80, 2 Os 2.80
Os: 0.0000 0.0000 0.5000  8 Ru 2.72, 2 Os 2.80, 2 Ta 2.80
Ru: 0.5000 0.5000 0.2631  4 Ru 2.65-2.95, 4 Os 2.72, 4 Ta 2.80
Ru: 0.5000 0.5000 0.7369  4 Ru 2.65-2.95, 4 Os 2.72, 4 Ta 2.80

Summary:
Its space group is Pmmm. For the volume, the calculation gives 60.2 Å³ per cell.


Order from most stable to least stable according to the calculation: run 1, run 2


Run 1
Below is an optimized crystal structure of TaOsRu, with properties calculated at the PBE level.

a = 4.4213 Å, b = 4.4213 Å, c = 2.7671 Å
α = 90.00°, β = 90.00°, γ = 120.00°
With the nearest neighbours (Å) after each atom.
Atoms (fractional coordinates):
Ta: 0.0000 0.0000 0.0000  3 Ru 2.63, 3 Os 2.69, 2 Ta 2.77
Os: 0.3333 0.6667 0.3102  3 Ta 2.69, 2 Os 2.77, 6 Ru 2.85-2.96
Ru: 0.6667 0.3333 0.7679  3 Ta 2.63, 2 Ru 2.77, 3 Os 2.85

Summary:
Its space group is P3m1. For the volume, the calculation gives 46.8 Å³ per cell.


Run 2
Below is an optimized crystal structure of TaOsRu, with properties calculated at the PBE level.

a = 2.7778 Å, b = 2.7778 Å, c = 12.0856 Å
α = 90.00°, β = 90.00°, γ = 90.00°
With the nearest neighbours (Å) after each atom.
Atoms (fractional coordinates):
Ta: 0.0000 0.0000 0.0000  4 Ta 2.78, 4 Ru 2.92, 4 Os 2.92
Ta: 0.5000 0.5000 0.5000  4 Ta 2.78, 4 Ru 2.92, 4 Os 2.92
Os: 0.0000 0.0000 0.3211  4 Ru 2.61, 4 Os 2.78, 4 Ta 2.92
Os: 0.5000 0.5000 0.8211  4 Ru 2.61, 4 Os 2.78, 4 Ta 2.92
Ru: 0.0000 0.0000 0.6783  4 Os 2.61, 4 Ru 2.78, 4 Ta 2.92
Ru: 0.5000 0.5000 0.1783  4 Os 2.61, 4 Ru 2.78, 4 Ta 2.92

Summary:
Its space group is I4mm. For the volume, the calculation gives 93.3 Å³ per cell.


Order from most stable to least stable according to the calculation: run 2, run 1